No. 1
# Sc2CdOs

Crystalline Sc2CdOs at its relaxed geometry (GGA-PBEsol, Alexandria).

a b c (Å): 3.2344 3.2344 7.1165
angles (deg): 90.00 90.00 90.00
Last column: nearest neighbours and their distance in Å.
Element x y z (fractional)
Sc 0.0000 0.0000 0.2134  4 Os 2.75, 1 Sc 3.04, 4 Cd 3.06
Sc 0.0000 0.0000 0.7866  4 Os 2.75, 1 Sc 3.04, 4 Cd 3.06
Cd 0.5000 0.5000 0.5000  8 Sc 3.06, 4 Cd 3.23
Os 0.5000 0.5000 0.0000  8 Sc 2.75

- density of states at the Fermi level (states/eV per cell) = 2.40
- space-group type = No. 123
- formation energy from the elements (eV per atom) = -0.454
- spin magnetization (μB per formula unit) = 0.0

---

No. 2
# MoIrAu2

Crystalline MoIrAu2 at its relaxed geometry (GGA-PBEsol, Alexandria).

a b c (Å): 9.5277 9.5277 9.5277
angles (deg): 16.81 16.81 16.81
Last column: nearest neighbours and their distance in Å.
Element x y z (fractional)
Mo 0.0000 0.0000 0.0000  3 Ir 2.62, 6 Mo 2.79, 3 Au 2.89
Ir 0.2600 0.2600 0.2600  3 Mo 2.62, 6 Ir 2.79, 3 Au 2.92
Au 0.5067 0.5067 0.5067  9 Au 2.79-2.96, 3 Ir 2.92
Au 0.7517 0.7517 0.7517  9 Au 2.79-2.96, 3 Mo 2.89

- density of states at the Fermi level (states/eV per cell) = 1.56
- space-group type = No. 160
- distance to the lowest polymorph of the same formula (meV/atom) = 0
- formation energy from the elements (eV per atom) = 0.019
- spin magnetization (μB per formula unit) = 0.0

---

No. 3
# Mg3TlCo

Crystalline Mg3TlCo at its relaxed geometry (GGA-PBEsol, Alexandria).

a b c (Å): 5.2068 5.2068 5.2068
angles (deg): 90.00 90.00 90.00
Last column: nearest neighbours and their distance in Å.
Element x y z (fractional)
Mg 0.0000 0.0000 0.5000  2 Tl 2.60
Mg 0.0000 0.5000 0.0000  2 Tl 2.60
Mg 0.5000 0.0000 0.0000  2 Tl 2.60
Tl 0.0000 0.0000 0.0000  6 Mg 2.60
Co 0.5000 0.5000 0.5000  12 Mg 3.68

- density of states at the Fermi level (states/eV per cell) = 7.48
- space-group type = No. 221
- formation energy from the elements (eV per atom) = 1.005
- spin magnetization (μB per formula unit) = 2.1

---

No. 4
# Sc4Te

Crystalline Sc4Te at its relaxed geometry (GGA-PBEsol, Alexandria).

a b c (Å): 5.5576 5.5576 5.5576
angles (deg): 98.22 98.22 135.56
Last column: nearest neighbours and their distance in Å.
Element x y z (fractional)
Sc 0.1147 0.6892 0.8039  7 Sc 3.01-3.22, 3 Te 3.12-3.20
Sc 0.3108 0.1147 0.4255  7 Sc 3.01-3.22, 3 Te 3.12-3.20
Sc 0.6892 0.8853 0.5745  7 Sc 3.01-3.22, 3 Te 3.12-3.20
Sc 0.8853 0.3108 0.1961  7 Sc 3.01-3.22, 3 Te 3.12-3.20
Te 0.5000 0.5000 0.0000  12 Sc 3.12-3.20

- density of states at the Fermi level (states/eV per cell) = 4.65
- space-group type = No. 87
- spin magnetization (μB per formula unit) = 0.0
- formation energy (no corrections) (eV/atom) = -0.416

---

No. 5
# TaAl2As

Crystalline TaAl2As at its relaxed geometry (GGA-PBEsol, Alexandria).

a b c (Å): 5.0892 5.0892 5.0892
angles (deg): 135.12 135.12 65.35
Last column: nearest neighbours and their distance in Å.
Element x y z (fractional)
Ta 0.0000 0.0000 0.0000  8 Al 2.75-2.89, 4 As 2.89
Al 0.5000 0.5000 0.0000  4 Ta 2.75, 4 Al 2.89, 4 As 2.89
Al 0.7500 0.2500 0.5000  4 As 2.75, 4 Al 2.89, 4 Ta 2.89
As 0.2500 0.7500 0.5000  8 Al 2.75-2.89, 4 Ta 2.89

- density of states at the Fermi level (states/eV per cell) = 2.34
- space-group type = No. 119
- formation energy from the elements (eV per atom) = -0.030
- spin magnetization (μB per formula unit) = 0.0

---

No. 6
# AgPt3

Crystalline AgPt3 at its relaxed geometry (GGA-PBEsol, Alexandria).

a b c (Å): 3.9325 3.9325 3.9325
angles (deg): 90.00 90.00 90.00
Last column: nearest neighbours and their distance in Å.
Element x y z (fractional)
Ag 0.0000 0.0000 0.0000  12 Pt 2.78
Pt 0.0000 0.5000 0.5000  8 Pt 2.78, 4 Ag 2.78
Pt 0.5000 0.0000 0.5000  8 Pt 2.78, 4 Ag 2.78
Pt 0.5000 0.5000 0.0000  8 Pt 2.78, 4 Ag 2.78

- density of states at the Fermi level (states/eV per cell) = 2.91
- space-group type = No. 221
- formation energy from the elements (eV per atom) = 0.027
- spin magnetization (μB per formula unit) = 0.0